# La2ZnSb | the Alexandria database | GGA-PBE | optimized geometry
data_La2ZnSb
_chemical_formula_sum 'La2 Zn1 Sb1'
_cell_length_a 4.051
_cell_length_b 4.051
_cell_length_c 7.023
_cell_angle_alpha 90.00
_cell_angle_beta 90.00
_cell_angle_gamma 90.00
_symmetry_space_group_name_H-M 'P 4/m m m'
_symmetry_Int_Tables_number 123
_symmetry_space_group_name_Hall '-P 4 2'
loop_
_atom_site_label
_atom_site_type_symbol
_atom_site_fract_x
_atom_site_fract_y
_atom_site_fract_z
_atom_site_occupancy
La1 La 0.000 0.000 0.249 1
Zn1 Zn 0.500 0.500 0.500 1
Sb1 Sb 0.500 0.500 0.000 1
# * magnetic moment: 0.036 μB/cell
# * polymorph energy (0 for the lowest one): 0.15 eV/f.u.
# * E_form (uncorrected): -694 meV/atom
# * VASP energy: -18.03 eV/cell

# La2ZnSb | the Alexandria database | GGA-PBE | optimized geometry
data_La2ZnSb
_chemical_formula_sum 'La8 Zn4 Sb4'
_cell_length_a 7.712
_cell_length_b 7.712
_cell_length_c 7.712
_cell_angle_alpha 90.00
_cell_angle_beta 90.00
_cell_angle_gamma 90.00
_symmetry_space_group_name_H-M 'F m -3 m'
_symmetry_Int_Tables_number 225
_symmetry_space_group_name_Hall '-F 4 2 3'
loop_
_atom_site_label
_atom_site_type_symbol
_atom_site_fract_x
_atom_site_fract_y
_atom_site_fract_z
_atom_site_occupancy
La1 La 0.250 0.250 0.250 1
Zn1 Zn 0.000 0.000 0.000 1
Sb1 Sb 0.000 0.000 0.500 1
# * magnetic moment: 0.000 μB/cell
# * polymorph energy (0 for the lowest one): 0.33 eV/f.u.
# * E_form (uncorrected): -649 meV/atom
# * VASP energy: -71.38 eV/cell

# LaZn2Sb | the Alexandria database | GGA-PBE | optimized geometry
data_LaZn2Sb
_chemical_formula_sum 'La1 Zn2 Sb1'
_cell_length_a 3.626
_cell_length_b 3.932
_cell_length_c 6.699
_cell_angle_alpha 90.00
_cell_angle_beta 90.00
_cell_angle_gamma 90.00
_symmetry_space_group_name_H-M 'P m m m'
_symmetry_Int_Tables_number 47
loop_
_symmetry_equiv_pos_as_xyz
'x,y,z'
'-x,-y,-z'
'-x,-y,z'
'x,y,-z'
'x,-y,-z'
'-x,y,z'
'-x,y,-z'
'x,-y,z'
loop_
_atom_site_label
_atom_site_type_symbol
_atom_site_fract_x
_atom_site_fract_y
_atom_site_fract_z
_atom_site_occupancy
La1 La 0.000 0.000 0.000 1
Zn1 Zn 0.500 0.500 0.290 1
Sb1 Sb 0.000 0.000 0.500 1
# * magnetic moment: 0.104 μB/cell
# * E_form (uncorrected): -245 meV/atom
# * VASP energy: -12.58 eV/cell

# La2ZnSb | the Alexandria database | GGA-PBE | optimized geometry
data_La2ZnSb
_chemical_formula_sum 'La8 Zn4 Sb4'
_cell_length_a 8.324
_cell_length_b 8.324
_cell_length_c 7.402
_cell_angle_alpha 90.00
_cell_angle_beta 90.00
_cell_angle_gamma 90.00
_symmetry_space_group_name_H-M 'I -4 2 d'
_symmetry_Int_Tables_number 122
_symmetry_space_group_name_Hall 'I -4 2bw'
loop_
_atom_site_label
_atom_site_type_symbol
_atom_site_fract_x
_atom_site_fract_y
_atom_site_fract_z
_atom_site_occupancy
La1 La 0.234 0.250 0.125 1
Zn1 Zn 0.000 0.000 0.000 1
Sb1 Sb 0.000 0.000 0.500 1
# * magnetic moment: 0.023 μB/cell
# * polymorph energy (0 for the lowest one): 1.14 eV/f.u.
# * E_form (uncorrected): -446 meV/atom
# * VASP energy: -68.14 eV/cell